Model a:
{
  "formula": "Sc4Bi",
  "functional": "PBE",
  "state": "relaxed",
  "dos_ef_per_ev_cell": 16.611,
  "lattice_angstrom": [[4.8277, 0.0000, -1.4101], [-0.7018, 5.7721, -2.4029], [-0.1259, 0.1104, 8.5386]],
  "species": ["Sc", "Sc", "Sc", "Sc", "Sc", "Sc", "Sc", "Sc", "Bi", "Bi"],
  "fractional_positions": [[0.8907, 0.6407, 0.7814], [0.3018, 0.7972, 0.6036], [0.6982, 0.6936, 0.3964], [0.3018, 0.3064, 0.6036], [0.1093, 0.3593, 0.2186], [0.5000, 0.5000, 0.0000], [0.6982, 0.2028, 0.3964], [0.5000, 0.0000, 0.0000], [0.8905, 0.1405, 0.7810], [0.1095, 0.8595, 0.2190]]
}

***

Model b:
{
  "formula": "Sc4Bi",
  "functional": "PBE",
  "state": "relaxed",
  "dos_ef_per_ev_cell": 8.719,
  "lattice_angstrom": [[5.4467, 0.0000, 0.0000], [0.0000, 5.4467, 0.0000], [0.0000, 0.0000, 5.4467]],
  "species": ["Sc", "Sc", "Sc", "Sc", "Bi"],
  "fractional_positions": [[0.0000, 0.0000, 0.0000], [0.0000, 0.5000, 0.5000], [0.5000, 0.0000, 0.5000], [0.5000, 0.5000, 0.0000], [0.5000, 0.5000, 0.5000]]
}

***

How far above the most stable structure does each one sit? In meV/atom: model a 0; model b 629.

***

Model a:
{
  "formula": "Sc5Bi2",
  "functional": "PBE",
  "state": "relaxed",
  "dos_ef_per_ev_cell": 15.244,
  "lattice_angstrom": [[-1.6232, 3.1773, 4.4012], [3.4633, -5.3579, 5.1453], [6.9398, 2.6299, -2.9860]],
  "species": ["Sc", "Sc", "Sc", "Sc", "Sc", "Sc", "Sc", "Sc", "Sc", "Sc", "Bi", "Bi", "Bi", "Bi"],
  "fractional_positions": [[0.5763, 0.8118, 0.4345], [0.1418, 0.6882, 0.5655], [0.2335, 0.7500, 0.0000], [0.6819, 0.5390, 0.7189], [0.4237, 0.1882, 0.5655], [0.9630, 0.9610, 0.2811], [0.3181, 0.4610, 0.2811], [0.8582, 0.3118, 0.4345], [0.7665, 0.2500, 0.0000], [0.0370, 0.0390, 0.7189], [0.7800, 0.5981, 0.1774], [0.3974, 0.0981, 0.1774], [0.2200, 0.4019, 0.8226], [0.6026, 0.9019, 0.8226]]
}

***

Model b:
{
  "formula": "Sc5Bi2",
  "functional": "PBE",
  "state": "relaxed",
  "dos_ef_per_ev_cell": 16.414,
  "lattice_angstrom": [[4.3176, 0.0000, -0.4324], [0.0000, 4.3197, 0.0000], [-0.3104, 0.0000, 18.6730]],
  "species": ["Bi", "Bi", "Bi", "Bi", "Sc", "Sc", "Sc", "Sc", "Sc", "Sc", "Sc", "Sc", "Sc", "Sc"],
  "fractional_positions": [[0.3113, 0.2500, 0.6226], [0.6887, 0.7500, 0.3774], [0.9047, 0.7500, 0.8094], [0.0953, 0.2500, 0.1906], [0.4667, 0.7500, 0.9334], [0.0332, 0.7500, 0.0664], [0.8227, 0.7500, 0.6454], [0.2499, 0.7500, 0.4998], [0.9668, 0.2500, 0.9336], [0.5333, 0.2500, 0.0666], [0.1773, 0.2500, 0.3546], [0.3923, 0.2500, 0.7846], [0.6077, 0.7500, 0.2154], [0.7501, 0.2500, 0.5002]]
}

***

How far above the most stable structure does each one sit? In meV/atom: model a 92; model b 0.

***

Model a:
{
  "formula": "ScBiSe3",
  "functional": "PBE",
  "state": "relaxed",
  "dos_ef_per_ev_cell": 3.772,
  "lattice_angstrom": [[-3.5944, 2.4515, -2.7412], [-2.7418, 0.7681, 4.2821], [2.4508, 4.4546, 0.7702]],
  "species": ["Se", "Se", "Se", "Sc", "Bi"],
  "fractional_positions": [[0.5000, 0.0000, 0.0000], [0.0000, 0.0000, 0.5000], [0.0000, 0.5000, 0.0000], [0.0000, 0.0000, 0.0000], [0.5000, 0.5000, 0.5000]]
}

***

Model b:
{
  "formula": "ScBiSe3",
  "functional": "PBE",
  "state": "relaxed",
  "dos_ef_per_ev_cell": 2.826,
  "lattice_angstrom": [[-4.7907, 0.8631, -2.3167], [-0.7789, -5.3214, -0.3719], [-2.3463, 0.0042, 4.8536]],
  "species": ["Se", "Se", "Se", "Sc", "Bi"],
  "fractional_positions": [[0.5000, 0.0000, 0.0000], [0.0000, 0.0000, 0.5000], [0.0000, 0.5000, 0.0000], [0.5000, 0.5000, 0.5000], [0.0000, 0.0000, 0.0000]]
}

***

Model c:
{
  "formula": "ScBiSe3",
  "functional": "PBE",
  "state": "relaxed",
  "lattice_angstrom": [[6.8706, 0.0000, 0.0000], [0.0000, 6.8704, 0.0000], [0.0000, -3.4352, 5.9500]],
  "species": ["Se", "Se", "Se", "Se", "Se", "Se", "Sc", "Sc", "Bi", "Bi"],
  "fractional_positions": [[0.7500, 0.6792, 0.9863], [0.7500, 0.0137, 0.6929], [0.2500, 0.0137, 0.3208], [0.2500, 0.3071, 0.9863], [0.2500, 0.6792, 0.6929], [0.7500, 0.3071, 0.3208], [0.5000, 0.0000, 0.0000], [0.0000, 0.0000, 0.0000], [0.0000, 0.6667, 0.3333], [0.5000, 0.6667, 0.3333]]
}

***

How far above the most stable structure does each one sit? In meV/atom: model a 444; model b 1070; model c 0.

***

Model a:
{
  "formula": "Sc3BiSe",
  "functional": "PBE",
  "state": "relaxed",
  "dos_ef_per_ev_cell": 12.105,
  "lattice_angstrom": [[3.9159, 0.0000, 1.0204], [1.1798, 7.4647, 3.4964], [-0.0786, -0.1017, 8.3255]],
  "species": ["Sc", "Sc", "Sc", "Sc", "Sc", "Sc", "Bi", "Bi", "Se", "Se"],
  "fractional_positions": [[0.7475, 0.3556, 0.1495], [0.6119, 0.0311, 0.7452], [0.2525, 0.6444, 0.8505], [0.0491, 0.6270, 0.2748], [0.3881, 0.9689, 0.2548], [0.9509, 0.3730, 0.7252], [0.1616, 0.2297, 0.4472], [0.8384, 0.7703, 0.5528], [0.3872, 0.2705, 0.9552], [0.6128, 0.7295, 0.0448]]
}

***

Model b:
{
  "formula": "Sc3BiSe",
  "functional": "PBE",
  "state": "relaxed",
  "dos_ef_per_ev_cell": 17.753,
  "lattice_angstrom": [[6.3258, 0.0000, 0.0000], [0.0000, 8.3682, -0.7505], [0.0000, -3.9226, 9.5710]],
  "species": ["Sc", "Sc", "Sc", "Sc", "Sc", "Sc", "Sc", "Sc", "Sc", "Sc", "Sc", "Sc", "Se", "Se", "Se", "Se", "Bi", "Bi", "Bi", "Bi"],
  "fractional_positions": [[0.6087, 0.7876, 0.8216], [0.4253, 0.3352, 0.5277], [0.3913, 0.2124, 0.1784], [0.6793, 0.9378, 0.3400], [0.5747, 0.6648, 0.4723], [0.0747, 0.8352, 0.0277], [0.9253, 0.1648, 0.9723], [0.1793, 0.5622, 0.1600], [0.1087, 0.7124, 0.6784], [0.3207, 0.0622, 0.6600], [0.8207, 0.4378, 0.8400], [0.8913, 0.2876, 0.3216], [0.7841, 0.4946, 0.6015], [0.2841, 0.0054, 0.8985], [0.7159, 0.9946, 0.1015], [0.2159, 0.5054, 0.3985], [0.3128, 0.4895, 0.8442], [0.6872, 0.5105, 0.1558], [0.8128, 0.0105, 0.6558], [0.1872, 0.9895, 0.3442]]
}

***

Model c:
{
  "formula": "Sc3BiSe",
  "functional": "PBE",
  "state": "relaxed",
  "dos_ef_per_ev_cell": 9.749,
  "lattice_angstrom": [[5.4648, 0.0000, 0.0000], [0.0000, 5.4648, 0.0000], [0.0000, 0.0000, 5.4648]],
  "species": ["Sc", "Sc", "Sc", "Se", "Bi"],
  "fractional_positions": [[0.0000, 0.0000, 0.5000], [0.5000, 0.0000, 0.0000], [0.0000, 0.5000, 0.0000], [0.5000, 0.5000, 0.5000], [0.0000, 0.0000, 0.0000]]
}

***

Model d:
{
  "formula": "Sc3BiSe",
  "functional": "PBE",
  "state": "relaxed",
  "dos_ef_per_ev_cell": 9.846,
  "lattice_angstrom": [[-1.9720, 2.3367, 3.9987], [2.2098, -3.3447, 3.0443], [4.0702, 2.9481, 0.2845]],
  "species": ["Sc", "Sc", "Sc", "Se", "Bi"],
  "fractional_positions": [[0.0000, 0.5000, 0.0000], [0.5000, 0.0000, 0.0000], [0.0000, 0.0000, 0.5000], [0.0000, 0.0000, 0.0000], [0.5000, 0.5000, 0.5000]]
}

***

How far above the most stable structure does each one sit? In meV/atom: model a 82; model b 0; model c 1127; model d 254.